# 1
# BaMn2ReRu

Crystalline BaMn2ReRu at its relaxed geometry (GGA-PBE, Alexandria).

a = 4.6031 Å, b = 4.6031 Å, c = 4.8640 Å
α = 90.00°, β = 90.00°, γ = 90.00°
Closest atoms and distances in Å follow each position.
Space group P4/mmm (No. 123)
Unique sites:
Ba: 0.0000 0.0000 0.0000  4 Mn 2.30, 2 Ru 2.43
Mn: 0.0000 0.5000 0.0000  2 Ba 2.30
Re: 0.5000 0.5000 0.5000  4 Ru 3.25, 8 Mn 3.35
Ru: 0.0000 0.0000 0.5000  2 Ba 2.43

The uncorrected energy is -5.111 eV per atom. The calculated formation energy comes out at 3.29 eV per atom. For the theoretical density, the calculation gives 8.6 g cm⁻³.

=====

# 2
# Ba2MnZnRe

Crystalline Ba2MnZnRe at its relaxed geometry (GGA-PBE, Alexandria).

a = 6.1444 Å, b = 6.1444 Å, c = 4.7175 Å
α = 90.00°, β = 90.00°, γ = 90.00°
Closest atoms and distances in Å follow each position.
Space group P4/mmm (No. 123)
Unique sites:
Ba: 0.0000 0.5000 0.0000  2 Zn 3.07
Mn: 0.0000 0.0000 0.5000  2 Zn 2.36
Zn: 0.0000 0.0000 0.0000  2 Mn 2.36
Re: 0.5000 0.5000 0.5000  8 Ba 3.87

The uncorrected energy is -4.013 eV per atom. The calculated formation energy comes out at 1.33 eV per atom. For the theoretical density, the calculation gives 5.4 g cm⁻³.

=====

# 3
# BaMn4Rh

Crystalline BaMn4Rh at its relaxed geometry (GGA-PBE, Alexandria).

a = 7.6996 Å, b = 7.6996 Å, c = 7.6996 Å
α = 90.00°, β = 90.00°, γ = 90.00°
Closest atoms and distances in Å follow each position.
Space group F-43m (No. 216)
Unique sites:
Ba: 0.0000 0.0000 0.0000  12 Mn 3.20, 4 Rh 3.33
Mn: 0.1225 0.1225 0.6225  6 Mn 2.67-2.78
Rh: 0.2500 0.2500 0.2500  12 Mn 3.19, 4 Ba 3.33

The uncorrected energy is -6.969 eV per atom. The calculated formation energy comes out at 0.69 eV per atom. For the theoretical density, the calculation gives 6.7 g cm⁻³.

=====

# 4
# Ba4MnRh

Crystalline Ba4MnRh at its relaxed geometry (GGA-PBE, Alexandria).

a = 9.8118 Å, b = 9.8118 Å, c = 9.8118 Å
α = 90.00°, β = 90.00°, γ = 90.00°
Closest atoms and distances in Å follow each position.
Space group F-43m (No. 216)
Unique sites:
Ba: 0.1242 0.1242 0.3758  6 Ba 3.45-3.49
Mn: 0.0000 0.0000 0.0000  12 Ba 4.07, 4 Rh 4.25
Rh: 0.2500 0.2500 0.7500  12 Ba 4.07, 4 Mn 4.25

The uncorrected energy is -2.989 eV per atom. The calculated formation energy comes out at 1.05 eV per atom. For the theoretical density, the calculation gives 5.0 g cm⁻³.